No. 1
Pm12Ge6P: optimized geometry, PBE-GGA.

Geometry as POSCAR:
```
Pm12Ge6P
1.0
6.4913 3.7478 4.0639
-6.4913 3.7478 4.0639
0.0000 -7.4955 4.0639
Pm Ge P
12 6 1
Direct
0.0458 0.9284 0.6771
0.0716 0.3229 0.9542
0.1861 0.5641 0.4242
0.3229 0.9542 0.0716
0.4242 0.1860 0.5641
0.4359 0.5758 0.8139
0.5641 0.4242 0.1861
0.5758 0.8139 0.4359
0.6771 0.0458 0.9284
0.8139 0.4359 0.5758
0.9284 0.6771 0.0458
0.9542 0.0716 0.3229
0.1272 0.2999 0.6155
0.2999 0.6155 0.1272
0.3845 0.8728 0.7001
0.6155 0.1272 0.2999
0.7001 0.3845 0.8728
0.8728 0.7001 0.3845
0.0000 0.0000 0.0000
```

Results
Raw total energy in eV for the cell shown: -102.0
Mass density in Mg/m³: 6.178
Calculated formation energy in eV/f.u.: -11.83


No. 2
Zn2InAg4: optimized geometry, PBE-GGA.

Geometry as POSCAR:
```
Zn2InAg4
1.0
5.5364 0.0000 0.0000
1.6691 6.7534 0.0000
2.4954 2.7725 6.6476
Zn In Ag
4 2 8
Direct
0.0000 0.0000 0.0000
0.1066 0.3692 0.0305
0.4097 0.4979 0.5990
0.8934 0.4113 0.7114
0.2556 0.9472 0.3157
0.4481 0.7051 0.8662
0.1697 0.5564 0.2941
0.2999 0.1369 0.5856
0.5393 0.0977 0.8880
0.6071 0.2762 0.1435
0.6973 0.6555 0.1747
0.7356 0.8346 0.4391
0.8253 0.2294 0.4641
0.9791 0.7818 0.7492
```

Results
Raw total energy in eV for the cell shown: -33.5
Mass density in Mg/m³: 9.047
Calculated formation energy in eV/f.u.: -0.07


No. 3
Tb12PmPr6: optimized geometry, PBE-GGA.

Geometry as POSCAR:
```
Tb12PmPr6
1.0
6.6961 3.8660 4.2485
-6.6961 3.8660 4.2485
0.0000 -7.7320 4.2485
Tb Pm Pr
12 1 6
Direct
0.0000 0.2568 0.7432
0.0000 0.7432 0.2568
0.1436 0.1436 0.4182
0.1436 0.4182 0.1436
0.2568 0.0000 0.7432
0.2568 0.7432 0.0000
0.4182 0.1436 0.1436
0.5818 0.8564 0.8564
0.7432 0.0000 0.2568
0.7432 0.2568 0.0000
0.8564 0.5818 0.8564
0.8564 0.8564 0.5818
0.5000 0.5000 0.5000
0.1562 0.5972 0.5972
0.4028 0.4028 0.8438
0.4028 0.8438 0.4028
0.5972 0.1562 0.5972
0.5972 0.5972 0.1562
0.8438 0.4028 0.4028
```

Results
Raw total energy in eV for the cell shown: -85.0
Mass density in Mg/m³: 7.291
Calculated formation energy in eV/f.u.: 3.99


No. 4
TbSmLu2: optimized geometry, PBE-GGA.

Geometry as POSCAR:
```
TbSmLu2
1.0
3.5368 0.0000 0.0000
0.0000 3.5368 0.0000
0.0000 0.0000 9.9214
Tb Sm Lu
1 1 2
Direct
0.0000 0.0000 0.0000
0.0000 0.0000 0.5000
0.5000 0.5000 0.2477
0.5000 0.5000 0.7523
```

Results
Raw total energy in eV for the cell shown: -18.3
Mass density in Mg/m³: 8.820
Calculated formation energy in eV/f.u.: 0.12


No. 5
BaReN3: optimized geometry, PBE-GGA.

Geometry as POSCAR:
```
BaReN3
1.0
4.2197 0.0000 0.0000
0.6881 6.3541 0.0000
1.3727 2.1333 6.2455
Ba Re N
2 2 6
Direct
0.0000 0.0000 0.0000
0.1632 0.6977 0.5914
0.3137 0.3619 0.2192
0.6864 0.2246 0.5293
0.5098 0.3615 0.9486
0.5600 0.9684 0.7219
0.6180 0.5654 0.2848
0.6519 0.4000 0.7517
0.9396 0.5713 0.2766
0.9994 0.1345 0.3190
```

Results
Raw total energy in eV for the cell shown: -80.7
Mass density in Mg/m³: 7.250
Uncorrected formation energy in eV per atom: -0.201


No. 6
Cs2HfUO6: optimized geometry, PBE-GGA.

Geometry as POSCAR:
```
Cs2HfUO6
1.0
0.0000 4.3017 4.3017
4.3017 0.0000 4.3017
4.3017 4.3017 0.0000
Cs Hf U O
2 1 1 6
Direct
0.2500 0.2500 0.2500
0.7500 0.7500 0.7500
0.0000 0.0000 0.0000
0.5000 0.5000 0.5000
0.2508 0.2508 0.7492
0.2508 0.7492 0.2508
0.2508 0.7492 0.7492
0.7492 0.2508 0.2508
0.7492 0.2508 0.7492
0.7492 0.7492 0.2508
```

Results
Raw total energy in eV for the cell shown: -80.3
Mass density in Mg/m³: 8.118
Uncorrected formation energy in eV per atom: -2.760


No. 7
MgTaCl2: optimized geometry, PBE-GGA.

Geometry as POSCAR:
```
MgTaCl2
1.0
5.6470 -1.5206 0.0000
5.6470 1.5206 0.0000
-2.9537 0.0000 6.4796
Mg Ta Cl
1 1 2
Direct
0.0000 0.0000 0.0000
0.7322 0.7322 0.9980
0.1611 0.1611 0.6936
0.3216 0.3216 0.3024
```

Results
Raw total energy in eV for the cell shown: -18.6
Mass density in Mg/m³: 4.121
Uncorrected formation energy in eV per atom: -0.360


No. 8
Dy2Tm6Sc: optimized geometry, PBE-GGA.

Geometry as POSCAR:
```
Dy2Tm6Sc
1.0
5.4969 -2.4539 0.0000
5.4969 2.4539 0.0000
-3.2875 0.0000 9.8955
Dy Tm Sc
2 6 1
Direct
0.0014 0.0014 0.1707
0.9986 0.9986 0.8293
0.3318 0.3318 0.6084
0.3335 0.3335 0.9444
0.3359 0.3359 0.2809
0.6641 0.6641 0.7191
0.6665 0.6665 0.0556
0.6682 0.6682 0.3916
0.0000 0.0000 0.5000
```

Results
Raw total energy in eV for the cell shown: -42.0
Mass density in Mg/m³: 8.606
Calculated formation energy in eV/f.u.: 0.32


No. 9
ScAsF2: optimized geometry, PBE-GGA.

Geometry as POSCAR:
```
ScAsF2
1.0
0.0000 3.0468 3.0468
3.0468 0.0000 3.0468
3.0468 3.0468 0.0000
Sc As F
1 1 2
Direct
0.0000 0.0000 0.0000
0.5000 0.5000 0.5000
0.2500 0.2500 0.2500
0.7500 0.7500 0.7500
```

Results
Raw total energy in eV for the cell shown: -20.5
Mass density in Mg/m³: 4.634
Uncorrected formation energy in eV per atom: -1.449


No. 10
GaTe3S: optimized geometry, PBE-GGA.

Geometry as POSCAR:
```
GaTe3S
1.0
5.3260 0.0000 0.0000
0.0000 5.3260 0.0000
0.0000 0.0000 5.3260
Ga Te S
1 3 1
Direct
0.0000 0.0000 0.0000
0.0000 0.0000 0.5000
0.0000 0.5000 0.0000
0.5000 0.0000 0.0000
0.5000 0.5000 0.5000
```

Results
Raw total energy in eV for the cell shown: -12.9
Mass density in Mg/m³: 5.326
Uncorrected formation energy in eV per atom: 0.726


No. 11
Tb2Zn3Ag: optimized geometry, PBE-GGA.

Geometry as POSCAR:
```
Tb2Zn3Ag
1.0
0.0000 4.5578 7.9305
3.4678 0.0000 7.9305
3.4678 4.5578 0.0000
Tb Zn Ag
4 6 2
Direct
0.2464 0.7536 0.7536
0.2500 0.2500 0.2500
0.7500 0.7500 0.7500
0.7536 0.2464 0.2464
0.1726 0.6637 0.3363
0.3363 0.8274 0.1726
0.3368 0.3368 0.6632
0.6632 0.6632 0.3368
0.6637 0.1726 0.8274
0.8274 0.3363 0.6637
0.1673 0.1673 0.8327
0.8327 0.8327 0.1673
```

Results
Raw total energy in eV for the cell shown: -36.1
Mass density in Mg/m³: 8.239
Calculated formation energy in eV/f.u.: -2.09


No. 12
AsPdPt: optimized geometry, PBE-GGA.

Geometry as POSCAR:
```
AsPdPt
1.0
6.0406 0.0000 0.0000
0.0000 6.0406 0.0000
0.0000 0.0000 6.0406
As Pd Pt
4 4 4
Direct
0.0487 0.0487 0.0487
0.4513 0.9513 0.5487
0.5487 0.4513 0.9513
0.9513 0.5487 0.4513
0.1805 0.3195 0.6805
0.3195 0.6805 0.1805
0.6805 0.1805 0.3195
0.8195 0.8195 0.8195
0.0519 0.9481 0.4481
0.4481 0.0519 0.9481
0.5519 0.5519 0.5519
0.9481 0.4481 0.0519
```

Results
Raw total energy in eV for the cell shown: -65.3
Mass density in Mg/m³: 11.344
Calculated formation energy in eV/f.u.: -0.45


What is the formula in the sixth record? Cs2HfUO6


What is the raw total energy in the sixth record? -80.3 eV for the cell shown